Zr2Sb2Au | PBE | optimized geometry

Lattice parameters (Å, degrees): 7.794 7.794 3.777 90.00 90.00 90.00
Sites, in units of the cell vectors:
Zr  0.146  0.354  0.000
Zr  0.354  0.854  0.000
Zr  0.646  0.146  0.000
Zr  0.854  0.646  0.000
Sb  0.152  0.652  0.500
Sb  0.348  0.152  0.500
Sb  0.652  0.848  0.500
Sb  0.848  0.348  0.500
Au  0.000  0.000  0.500
Au  0.500  0.500  0.500

Values from the calculation:
Formation energy from raw total energies   -0.39 eV/atom
Magnetic moment   0.0 Bohr magnetons per cell
Space group   P4/mbm (127)
DOS(E_F)   8.19 states/eV/cell
Raw total energy   -6.112 eV per atom
Calculated volume   22.945 Å³ per atom


Ac3CdAg | PBE | optimized geometry

Lattice parameters (Å, degrees): 10.197 10.197 4.181 90.00 90.00 116.39
Sites, in units of the cell vectors:
Ac  0.158  0.842  0.000
Ac  0.195  0.414  0.500
Ac  0.414  0.195  0.500
Ac  0.586  0.805  0.500
Ac  0.805  0.586  0.500
Ac  0.842  0.158  0.000
Cd  0.000  0.000  0.500
Cd  0.500  0.500  0.000
Ag  0.000  0.500  0.000
Ag  0.500  0.000  0.000

Values from the calculation:
Magnetic moment   0.0 Bohr magnetons per cell
Space group   Cmmm (65)
DOS(E_F)   12.38 states/eV/cell
Raw total energy   -3.243 eV per atom
Calculated volume   38.951 Å³ per atom


Mg2RuS2 | PBE | optimized geometry

Lattice parameters (Å, degrees): 6.664 6.664 3.564 90.00 90.00 90.00
Sites, in units of the cell vectors:
Mg  0.157  0.343  0.000
Mg  0.343  0.843  0.000
Mg  0.657  0.157  0.000
Mg  0.843  0.657  0.000
Ru  0.000  0.000  0.500
Ru  0.500  0.500  0.500
S  0.161  0.661  0.500
S  0.339  0.161  0.500
S  0.661  0.839  0.500
S  0.839  0.339  0.500

Values from the calculation:
Formation energy from raw total energies   -0.53 eV/atom
Magnetic moment   0.0 Bohr magnetons per cell
Space group   P4/mbm (127)
DOS(E_F)   5.68 states/eV/cell
Raw total energy   -4.674 eV per atom
Calculated volume   15.827 Å³ per atom


ZnOsPb2 | PBE | optimized geometry

Lattice parameters (Å, degrees): 3.320 3.320 8.288 90.00 90.00 90.00
Sites, in units of the cell vectors:
Zn  0.000  0.000  0.000
Os  0.000  0.000  0.500
Pb  0.500  0.500  0.289
Pb  0.500  0.500  0.711

Values from the calculation:
Magnetic moment   0.0 Bohr magnetons per cell
Space group   P4/mmm (123)
DOS(E_F)   2.58 states/eV/cell
Raw total energy   -4.377 eV per atom
Calculated volume   22.834 Å³ per atom


InAgBr2 | PBE | optimized geometry

Lattice parameters (Å, degrees): 4.268 4.268 13.480 90.00 90.00 90.00
Sites, in units of the cell vectors:
In  0.000  0.000  0.000
In  0.500  0.500  0.500
Ag  0.000  0.500  0.750
Ag  0.500  0.000  0.250
Br  0.000  0.000  0.500
Br  0.000  0.500  0.250
Br  0.500  0.000  0.750
Br  0.500  0.500  0.000

Values from the calculation:
Formation energy from raw total energies   -0.29 eV/atom
Magnetic moment   0.0 Bohr magnetons per cell
Space group   I-4m2 (119)
DOS(E_F)   0.92 states/eV/cell
Raw total energy   -2.526 eV per atom
Calculated volume   30.690 Å³ per atom


MnCr2Te5 | PBE | optimized geometry

Lattice parameters (Å, degrees): 9.131 7.483 6.410 81.78 54.21 44.01
Sites, in units of the cell vectors:
Mn  0.000  0.000  0.000
Cr  0.304  0.304  0.696
Cr  0.696  0.696  0.304
Te  0.007  0.295  0.705
Te  0.295  0.007  0.993
Te  0.500  0.500  0.500
Te  0.705  0.993  0.007
Te  0.993  0.705  0.295

Values from the calculation:
Formation energy from raw total energies   0.08 eV/atom
Magnetic moment   9.7 Bohr magnetons per cell
Space group   Fmmm (69)
DOS(E_F)   5.38 states/eV/cell
Raw total energy   -5.432 eV per atom
Calculated volume   26.855 Å³ per atom


Rb2IrCl2F4 | PBE | optimized geometry

Lattice parameters (Å, degrees): 6.764 6.764 5.303 91.99 91.99 55.79
Sites, in units of the cell vectors:
Rb  0.142  0.142  0.176
Rb  0.858  0.858  0.824
Ir  0.500  0.500  0.500
Cl  0.322  0.322  0.678
Cl  0.678  0.678  0.322
F  0.222  0.673  0.270
F  0.327  0.778  0.730
F  0.673  0.222  0.270
F  0.778  0.327  0.730

Values from the calculation:
Formation energy from raw total energies   -1.83 eV/atom
Magnetic moment   1.0 Bohr magnetons per cell
Space group   C2/m (12)
DOS(E_F)   3.32 states/eV/cell
Raw total energy   -4.274 eV per atom
Calculated volume   22.277 Å³ per atom


Tl2GaAg | PBE | optimized geometry

Lattice parameters (Å, degrees): 3.237 3.237 33.224 90.00 90.00 120.00
Sites, in units of the cell vectors:
Tl  0.000  0.000  0.091
Tl  0.000  0.000  0.909
Tl  0.333  0.667  0.576
Tl  0.333  0.667  0.757
Tl  0.667  0.333  0.243
Tl  0.667  0.333  0.424
Ga  0.000  0.000  0.000
Ga  0.333  0.667  0.667
Ga  0.667  0.333  0.333
Ag  0.000  0.000  0.500
Ag  0.333  0.667  0.167
Ag  0.667  0.333  0.833

Values from the calculation:
Magnetic moment   0.0 Bohr magnetons per cell
Space group   R-3m (166)
DOS(E_F)   6.21 states/eV/cell
Raw total energy   -2.465 eV per atom
Calculated volume   25.125 Å³ per atom


B3AsIr | PBE | optimized geometry

Lattice parameters (Å, degrees): 4.150 4.150 4.150 90.00 90.00 90.00
Sites, in units of the cell vectors:
B  0.000  0.000  0.500
B  0.000  0.500  0.000
B  0.500  0.000  0.000
As  0.500  0.500  0.500
Ir  0.000  0.000  0.000

Values from the calculation:
Magnetic moment   0.0 Bohr magnetons per cell
Space group   Pm-3m (221)
DOS(E_F)   5.58 states/eV/cell
Raw total energy   -5.490 eV per atom
Calculated volume   14.290 Å³ per atom


RbLi3Np4S12 | PBE | optimized geometry

Lattice parameters (Å, degrees): 8.524 8.524 8.524 109.47 109.47 109.47
Sites, in units of the cell vectors:
Rb  0.000  0.000  0.000
Li  0.000  0.500  0.500
Li  0.500  0.000  0.500
Li  0.500  0.500  0.000
Np  0.000  0.000  0.500
Np  0.000  0.500  0.000
Np  0.500  0.000  0.000
Np  0.500  0.500  0.500
S  0.122  0.816  0.306
S  0.184  0.306  0.489
S  0.184  0.694  0.878
S  0.306  0.122  0.816
S  0.306  0.489  0.184
S  0.489  0.184  0.306
S  0.511  0.816  0.694
S  0.694  0.511  0.816
S  0.694  0.878  0.184
S  0.816  0.306  0.122
S  0.816  0.694  0.511
S  0.878  0.184  0.694

Values from the calculation:
Formation energy from raw total energies   -1.09 eV/atom
Magnetic moment   8.0 Bohr magnetons per cell
Space group   Im-3 (204)
DOS(E_F)   30.90 states/eV/cell
Raw total energy   -6.492 eV per atom
Calculated volume   23.835 Å³ per atom


BaCd5Au3 | PBE | optimized geometry

Lattice parameters (Å, degrees): 7.669 7.669 13.741 90.00 90.00 145.75
Sites, in units of the cell vectors:
Ba  0.169  0.831  0.750
Ba  0.831  0.169  0.250
Cd  0.000  0.000  0.000
Cd  0.000  0.000  0.500
Cd  0.197  0.803  0.052
Cd  0.197  0.803  0.448
Cd  0.437  0.563  0.645
Cd  0.437  0.563  0.855
Cd  0.563  0.437  0.145
Cd  0.563  0.437  0.355
Cd  0.803  0.197  0.552
Cd  0.803  0.197  0.948
Au  0.139  0.861  0.250
Au  0.386  0.614  0.062
Au  0.386  0.614  0.438
Au  0.614  0.386  0.562
Au  0.614  0.386  0.938
Au  0.861  0.139  0.750

Values from the calculation:
Magnetic moment   0.0 Bohr magnetons per cell
Space group   Cmcm (63)
DOS(E_F)   7.40 states/eV/cell
Raw total energy   -2.145 eV per atom
Calculated volume   25.267 Å³ per atom


SrCuI3 | PBE | optimized geometry

Lattice parameters (Å, degrees): 6.368 6.368 6.368 90.00 90.00 90.00
Sites, in units of the cell vectors:
Sr  0.000  0.000  0.000
Cu  0.500  0.500  0.500
I  0.000  0.000  0.500
I  0.000  0.500  0.000
I  0.500  0.000  0.000

Values from the calculation:
Formation energy from raw total energies   -0.34 eV/atom
Magnetic moment   0.0 Bohr magnetons per cell
Space group   Pm-3m (221)
DOS(E_F)   1.88 states/eV/cell
Raw total energy   -2.425 eV per atom
Calculated volume   51.646 Å³ per atom